Entry 1:
## SmSiPt6 (PBE)

Data for a relaxed structure of SmSiPt6.

Cell lengths 5.5184, 5.5184, 6.8627 Å; angles 66.29, 66.29, 60.00 degrees
Closest atoms and distances in Å follow each position.
Positions (direct):
1 Pt 0.5650 0.0814 0.2721  1 Si 2.33
2 Pt 0.0814 0.5650 0.2721  1 Si 2.33
3 Pt 0.9186 0.4350 0.7279  1 Si 2.33
4 Pt 0.0814 0.0814 0.2721  1 Si 2.33
5 Pt 0.9186 0.9186 0.7279  1 Si 2.33
6 Pt 0.4350 0.9186 0.7279  1 Si 2.33
7 Sm 0.5000 0.5000 0.5000  12 Pt 3.09
8 Si 0.0000 0.0000 0.0000  6 Pt 2.33

Calculated values
As for the total magnetization: 0.0 μB per cell. For the formation energy without anion corrections, the calculation gives -529.8 meV per atom. The value obtained for the density of states at the Fermi level is 0.6583 states/eV/atom.


Entry 2:
## Sm2Si2Pt5 (PBE)

Data for a relaxed structure of Sm2Si2Pt5.

Cell lengths 4.2369, 4.2369, 9.0066 Å; angles 90.00, 90.00, 90.00 degrees
Closest atoms and distances in Å follow each position.
Positions (direct):
1 Si 0.5000 0.5000 0.1332  1 Si 2.40, 4 Pt 2.42
2 Si 0.5000 0.5000 0.8668  1 Si 2.40, 4 Pt 2.42
3 Sm 0.0000 0.0000 0.5000  12 Pt 3.00
4 Sm 0.0000 0.0000 0.0000  8 Pt 3.18, 8 Si 3.23
5 Pt 0.0000 0.5000 0.7360  2 Si 2.42
6 Pt 0.5000 0.0000 0.7360  2 Si 2.42
7 Pt 0.5000 0.0000 0.2640  2 Si 2.42
8 Pt 0.5000 0.5000 0.5000  4 Sm 3.00, 8 Pt 3.00, 2 Si 3.30
9 Pt 0.0000 0.5000 0.2640  2 Si 2.42

Calculated values
As for the total magnetization: 0.0 μB per cell. For the formation energy without anion corrections, the calculation gives -1068.0 meV per atom. The value obtained for the density of states at the Fermi level is 0.4751 states/eV/atom.


Entry 3:
## SmSi4Pt2 (PBE)

Data for a relaxed structure of SmSi4Pt2.

Cell lengths 4.2352, 6.6143, 16.8728 Å; angles 90.00, 90.00, 90.00 degrees
Closest atoms and distances in Å follow each position.
Positions (direct):
1 Si 0.2500 0.1395 0.5403  3 Pt 2.47-2.54, 2 Si 2.61-2.72
2 Si 0.2500 0.3605 0.0403  3 Pt 2.47-2.54, 2 Si 2.61-2.72
3 Si 0.7500 0.6395 0.9597  3 Pt 2.47-2.54, 2 Si 2.61-2.72
4 Si 0.7500 0.7664 0.8131  3 Pt 2.51-2.70, 2 Si 2.61-2.62
5 Si 0.2500 0.6607 0.6745  3 Pt 2.54-2.63, 1 Si 2.62
6 Si 0.2500 0.0412 0.9390  4 Pt 2.44-2.63, 1 Si 2.72
7 Si 0.7500 0.3393 0.3255  3 Pt 2.54-2.63, 1 Si 2.62
8 Si 0.2500 0.2336 0.1869  3 Pt 2.51-2.70, 2 Si 2.61-2.62
9 Si 0.7500 0.9588 0.0610  4 Pt 2.44-2.63, 1 Si 2.72
10 Si 0.7500 0.7336 0.3131  3 Pt 2.51-2.70, 2 Si 2.61-2.62
11 Si 0.2500 0.8393 0.1745  3 Pt 2.54-2.63, 1 Si 2.62
12 Si 0.2500 0.4588 0.4390  4 Pt 2.44-2.63, 1 Si 2.72
13 Si 0.7500 0.5412 0.5610  4 Pt 2.44-2.63, 1 Si 2.72
14 Si 0.7500 0.1607 0.8255  3 Pt 2.54-2.63, 1 Si 2.62
15 Si 0.2500 0.2664 0.6869  3 Pt 2.51-2.70, 2 Si 2.61-2.62
16 Si 0.7500 0.8605 0.4597  3 Pt 2.47-2.54, 2 Si 2.61-2.72
17 Sm 0.7500 0.5276 0.1456  10 Si 2.96-3.28, 4 Pt 3.28
18 Sm 0.2500 0.0276 0.3544  10 Si 2.96-3.28, 4 Pt 3.28
19 Sm 0.7500 0.9724 0.6456  10 Si 2.96-3.28, 4 Pt 3.28
20 Sm 0.2500 0.4724 0.8544  10 Si 2.96-3.28, 4 Pt 3.28
21 Pt 0.7500 0.2578 0.9764  7 Si 2.44-2.63
22 Pt 0.2500 0.5359 0.2942  6 Si 2.50-2.70
23 Pt 0.2500 0.9641 0.7942  6 Si 2.50-2.70
24 Pt 0.7500 0.0359 0.2058  6 Si 2.50-2.70
25 Pt 0.2500 0.7422 0.0236  7 Si 2.44-2.63
26 Pt 0.7500 0.2422 0.4764  7 Si 2.44-2.63
27 Pt 0.7500 0.4641 0.7058  6 Si 2.50-2.70
28 Pt 0.2500 0.7578 0.5236  7 Si 2.44-2.63

Calculated values
As for the total magnetization: 0.0 μB per cell. For the formation energy without anion corrections, the calculation gives -658.5 meV per atom. The value obtained for the density of states at the Fermi level is 0.4026 states/eV/atom.


Entry 4:
## Sm4SiPt3 (PBE)

Data for a relaxed structure of Sm4SiPt3.

Cell lengths 4.0264, 4.3220, 10.8993 Å; angles 90.00, 90.00, 90.00 degrees
Closest atoms and distances in Å follow each position.
Positions (direct):
1 Pt 0.5000 0.0000 0.9243  2 Si 2.71
2 Pt 0.0000 0.5000 0.5875  2 Pt 2.89, 7 Sm 2.96-3.17
3 Pt 0.0000 0.0000 0.4114  2 Pt 2.89, 7 Sm 2.96-3.21
4 Si 0.5000 0.5000 0.0742  2 Pt 2.71
5 Sm 0.0000 0.5000 0.8594  5 Pt 2.96-3.04, 2 Si 3.09
6 Sm 0.0000 0.0000 0.1401  3 Pt 2.96-3.10, 4 Si 3.04
7 Sm 0.5000 0.5000 0.3624  6 Pt 3.00-3.17, 1 Si 3.14
8 Sm 0.5000 0.0000 0.6407  7 Pt 3.01-3.21

Calculated values
As for the total magnetization: 0.0 μB per cell. For the formation energy without anion corrections, the calculation gives -1069.7 meV per atom. The value obtained for the density of states at the Fermi level is 0.7627 states/eV/atom.


Entry 5:
## Sm2Si3Pt (PBE)

Data for a relaxed structure of Sm2Si3Pt.

Cell lengths 7.7222, 7.7222, 7.7222 Å; angles 149.43, 148.46, 44.49 degrees
Closest atoms and distances in Å follow each position.
Positions (direct):
1 Si 0.7940 0.2940 0.5000  1 Pt 2.36, 2 Si 2.40
2 Si 0.5407 0.5407 0.0000  1 Si 2.36, 2 Pt 2.40
3 Si 0.7056 0.7056 0.0000  3 Si 2.36-2.40
4 Sm 0.1288 0.1288 0.0000  10 Si 3.12-3.18, 2 Pt 3.16
5 Sm 0.3714 0.8714 0.5000  8 Si 3.13-3.17, 4 Pt 3.18
6 Pt 0.9595 0.4595 0.5000  3 Si 2.36-2.40

Calculated values
As for the total magnetization: 0.0 μB per cell. For the formation energy without anion corrections, the calculation gives -957.3 meV per atom. The value obtained for the density of states at the Fermi level is 0.4825 states/eV/atom.


Entry 6:
## Sm3Si4Pt7 (PBE)

Data for a relaxed structure of Sm3Si4Pt7.

Cell lengths 4.0795, 8.0797, 8.3668 Å; angles 70.87, 75.89, 75.38 degrees
Closest atoms and distances in Å follow each position.
Positions (direct):
1 Si 0.1106 0.1037 0.6750  6 Pt 2.53-2.65
2 Si 0.6683 0.4384 0.2250  5 Pt 2.45-2.54
3 Si 0.3317 0.5616 0.7750  5 Pt 2.45-2.54
4 Si 0.8894 0.8963 0.3250  6 Pt 2.53-2.65
5 Pt 0.1687 0.5811 0.0816  3 Si 2.45-2.54
6 Pt 0.3055 0.8461 0.5429  4 Si 2.47-2.65
7 Pt 0.8313 0.4189 0.9184  3 Si 2.45-2.54
8 Pt 0.0000 0.0000 0.0000  2 Si 2.53
9 Pt 0.5078 0.7501 0.2342  3 Si 2.46-2.55
10 Pt 0.6945 0.1539 0.4571  4 Si 2.47-2.65
11 Pt 0.4922 0.2499 0.7658  3 Si 2.46-2.55
12 Sm 0.3274 0.1746 0.1706  4 Si 2.99-3.02, 9 Pt 3.00-3.21
13 Sm 0.6726 0.8254 0.8294  4 Si 2.99-3.02, 9 Pt 3.00-3.21
14 Sm 0.0000 0.5000 0.5000  6 Si 3.02-3.16, 6 Pt 3.20-3.27

Calculated values
As for the total magnetization: 0.0 μB per cell. For the formation energy without anion corrections, the calculation gives -1073.4 meV per atom. The value obtained for the density of states at the Fermi level is 0.4377 states/eV/atom.


Entry 7:
## SmSi3Pt3 (PBE)

Data for a relaxed structure of SmSi3Pt3.

Cell lengths 6.6058, 6.6058, 6.6058 Å; angles 90.00, 90.00, 90.00 degrees
Closest atoms and distances in Å follow each position.
Positions (direct):
1 Si 0.2500 0.5000 0.0000  4 Pt 2.34
2 Si 0.5000 0.0000 0.7500  4 Pt 2.34
3 Si 0.0000 0.2500 0.5000  4 Pt 2.34
4 Si 0.0000 0.7500 0.5000  4 Pt 2.34
5 Si 0.5000 0.0000 0.2500  4 Pt 2.34
6 Si 0.7500 0.5000 0.0000  4 Pt 2.34
7 Pt 0.0000 0.5000 0.2500  4 Si 2.34
8 Pt 0.2500 0.0000 0.5000  4 Si 2.34
9 Pt 0.0000 0.5000 0.7500  4 Si 2.34
10 Pt 0.5000 0.2500 0.0000  4 Si 2.34
11 Pt 0.5000 0.7500 0.0000  4 Si 2.34
12 Pt 0.7500 0.0000 0.5000  4 Si 2.34
13 Sm 0.0000 0.0000 0.0000  12 Pt 3.69, 12 Si 3.69
14 Sm 0.5000 0.5000 0.5000  12 Pt 3.69, 12 Si 3.69

Calculated values
As for the total magnetization: 0.0 μB per cell. For the formation energy without anion corrections, the calculation gives -674.3 meV per atom. The value obtained for the density of states at the Fermi level is 0.5100 states/eV/atom.


Entry 8:
## SmSi2Pt8 (PBE)

Data for a relaxed structure of SmSi2Pt8.

Cell lengths 5.4406, 5.4406, 7.5769 Å; angles 90.00, 90.00, 90.00 degrees
Closest atoms and distances in Å follow each position.
Positions (direct):
1 Pt 0.2470 0.2470 0.2026  2 Si 2.46, 4 Pt 2.69-2.75
2 Pt 0.7530 0.7530 0.2026  2 Si 2.46, 4 Pt 2.69-2.75
3 Pt 0.2470 0.7530 0.7974  2 Si 2.46, 4 Pt 2.69-2.75
4 Pt 0.7530 0.2470 0.2026  2 Si 2.46, 4 Pt 2.69-2.75
5 Pt 0.2470 0.7530 0.2026  2 Si 2.46, 4 Pt 2.69-2.75
6 Pt 0.7530 0.7530 0.7974  2 Si 2.46, 4 Pt 2.69-2.75
7 Pt 0.7530 0.2470 0.7974  2 Si 2.46, 4 Pt 2.69-2.75
8 Pt 0.2470 0.2470 0.7974  2 Si 2.46, 4 Pt 2.69-2.75
9 Si 0.0000 0.5000 0.0000  8 Pt 2.46
10 Si 0.5000 0.0000 0.0000  8 Pt 2.46
11 Sm 0.5000 0.5000 0.5000  8 Pt 2.98

Calculated values
As for the total magnetization: 0.0 μB per cell. For the formation energy without anion corrections, the calculation gives -425.2 meV per atom. The value obtained for the density of states at the Fermi level is 0.6095 states/eV/atom.


Entry 9:
## Sm3SiPt3 (PBE)

Data for a relaxed structure of Sm3SiPt3.

Cell lengths 4.1612, 5.7114, 14.1726 Å; angles 86.21, 81.56, 68.64 degrees
Closest atoms and distances in Å follow each position.
Positions (direct):
1 Pt 0.1475 0.2510 0.4540  3 Si 2.42-2.67
2 Pt 0.1235 0.8311 0.9219  2 Pt 2.85-2.86, 7 Sm 2.92-3.18
3 Pt 0.0397 0.1618 0.7588  1 Si 2.55
4 Pt 0.8765 0.1689 0.0781  2 Pt 2.85-2.86, 7 Sm 2.92-3.18
5 Pt 0.8525 0.7490 0.5460  3 Si 2.42-2.67
6 Pt 0.9603 0.8382 0.2412  1 Si 2.55
7 Sm 0.5244 0.3375 0.6138  4 Si 3.02-3.35, 7 Pt 3.05-3.28
8 Sm 0.3971 0.2824 0.9233  7 Pt 2.92-3.18
9 Sm 0.2529 0.2645 0.2297  6 Pt 3.02-3.14, 2 Si 3.30
10 Sm 0.7471 0.7355 0.7703  6 Pt 3.02-3.14, 2 Si 3.30
11 Sm 0.4756 0.6625 0.3862  4 Si 3.02-3.35, 7 Pt 3.05-3.28
12 Sm 0.6029 0.7176 0.0767  7 Pt 2.92-3.18
13 Si 0.7642 0.0731 0.3985  4 Pt 2.42-2.67
14 Si 0.2358 0.9269 0.6015  4 Pt 2.42-2.67

Calculated values
As for the total magnetization: 0.0 μB per cell. For the formation energy without anion corrections, the calculation gives -1127.8 meV per atom. The value obtained for the density of states at the Fermi level is 0.6686 states/eV/atom.